No. 1
Entry from the Alexandria database: a crystal of Na2HgBr relaxed with PBEsol (meta-GGA SCAN).

The structure belongs to space group I-42d (No. 122); the cell edges are 7.970, 7.970 and 7.422 Å and the angles 90.00°, 90.00° and 90.00°. Symmetry generates all atoms from Na at (0.221, 0.250, 0.125), Hg at (0.000, 0.000, 0.500) and Br at (0.000, 0.000, 0.000).

The value obtained for the formation energy from raw total energies is -301.8 kJ/mol of formula units.



No. 2
Entry from the Alexandria database: a crystal of SrRuSe2 relaxed with PBEsol (meta-GGA SCAN).

The structure belongs to space group P4/mmm (No. 123); the cell edges are 3.329, 3.329 and 7.045 Å and the angles 90.00°, 90.00° and 90.00°. Symmetry generates all atoms from Sr at (0.000, 0.000, 0.000), Ru at (0.000, 0.000, 0.500) and Se at (0.500, 0.500, 0.296).

The value obtained for the formation energy from raw total energies is -117.7 kJ/mol of formula units.



No. 3
Entry from the Alexandria database: a crystal of TaMnTc2 relaxed with PBEsol (meta-GGA SCAN).

The structure belongs to space group P4/mmm (No. 123); the cell edges are 3.097, 3.097 and 5.982 Å and the angles 90.00°, 90.00° and 90.00°. Symmetry generates all atoms from Ta at (0.000, 0.000, 0.000), Mn at (0.000, 0.000, 0.500) and Tc at (0.500, 0.500, 0.262).

As for the energy relative to the elements: -291 meV/atom.



No. 4
Entry from the Alexandria database: a crystal of Na2Te2O5 relaxed with PBEsol (meta-GGA SCAN).

The structure belongs to space group C2/c (No. 15); the cell edges are 23.480, 4.874 and 9.689 Å and the angles 90.00°, 102.39° and 90.00°. Symmetry generates all atoms from Na at (0.051, 0.013, 0.411), Na at (0.170, 0.007, 0.709), Te at (0.059, 0.493, 0.177), Te at (0.189, 0.410, 0.457), O at (0.044, 0.476, 0.864), O at (0.052, 0.111, 0.155), O at (0.146, 0.497, 0.249), O at (0.148, 0.090, 0.463) and O at (0.247, 0.252, 0.365).

The value obtained for the formation energy from raw total energies is -1284.7 kJ/mol of formula units.



No. 5
Entry from the Alexandria database: a crystal of TaTlZn2 relaxed with PBEsol (meta-GGA SCAN).

The structure belongs to space group I-4m2 (No. 119); the cell edges are 3.872, 3.872 and 9.114 Å and the angles 90.00°, 90.00° and 90.00°. Symmetry generates all atoms from Ta at (0.000, 0.000, 0.000), Tl at (0.000, 0.500, 0.250), Zn at (0.000, 0.000, 0.500) and Zn at (0.000, 0.500, 0.750).

As for the energy relative to the elements: 358 meV/atom.



No. 6
Entry from the Alexandria database: a crystal of FeAg2Mo relaxed with PBEsol (meta-GGA SCAN).

The structure belongs to space group Immm (No. 71); the cell edges are 2.778, 4.470 and 9.592 Å and the angles 90.00°, 90.00° and 90.00°. Symmetry generates all atoms from Fe at (0.000, 0.000, 0.000), Ag at (0.000, 0.500, 0.267) and Mo at (0.000, 0.000, 0.500).

As for the energy relative to the elements: 570 meV/atom.



No. 7
Entry from the Alexandria database: a crystal of AlNi relaxed with PBEsol (meta-GGA SCAN).

The structure belongs to space group C2/m (No. 12); the cell edges are 11.074, 2.702 and 5.056 Å and the angles 90.00°, 105.14° and 90.00°. Symmetry generates all atoms from Al at (0.000, 0.000, 0.000), Al at (0.170, 0.500, 0.787), Ni at (0.000, 0.000, 0.500) and Ni at (0.162, 0.500, 0.304).

As for the energy relative to the elements: -498 meV/atom.



No. 8
Entry from the Alexandria database: a crystal of CdGaSeN2 relaxed with PBEsol (meta-GGA SCAN).

The structure belongs to space group P4/mmm (No. 123); the cell edges are 4.158, 4.158 and 5.686 Å and the angles 90.00°, 90.00° and 90.00°. Symmetry generates all atoms from Cd at (0.000, 0.000, 0.000), Ga at (0.500, 0.500, 0.500), Se at (0.000, 0.000, 0.500) and N at (0.000, 0.500, 0.000).

The value obtained for the formation energy from raw total energies is 704.2 kJ/mol of formula units.



No. 9
Entry from the Alexandria database: a crystal of LaP12Ru4 relaxed with PBEsol (meta-GGA SCAN).

The structure belongs to space group Im-3 (No. 204); the cell edges are 8.023, 8.023 and 8.023 Å and the angles 90.00°, 90.00° and 90.00°. Symmetry generates all atoms from La at (0.000, 0.000, 0.000), P at (0.000, 0.145, 0.358) and Ru at (0.250, 0.250, 0.250).

As for the energy relative to the elements: -770 meV/atom.



No. 10
Entry from the Alexandria database: a crystal of Os2AuCl relaxed with PBEsol (meta-GGA SCAN).

The structure belongs to space group Cmmm (No. 65); the cell edges are 5.795, 7.561 and 2.748 Å and the angles 90.00°, 90.00° and 90.00°. Symmetry generates all atoms from Os at (0.250, 0.250, 0.000), Au at (0.000, 0.000, 0.500) and Cl at (0.000, 0.500, 0.500).

The value obtained for the formation energy from raw total energies is 590.4 kJ/mol of formula units.



No. 11
Entry from the Alexandria database: a crystal of CdCu relaxed with PBEsol (meta-GGA SCAN).

The structure belongs to space group C2/m (No. 12); the cell edges are 9.657, 2.965 and 4.577 Å and the angles 90.00°, 109.53° and 90.00°. Symmetry generates all atoms from Cd at (0.109, 0.000, 0.330) and Cu at (0.146, 0.500, 0.858).

As for the energy relative to the elements: 60 meV/atom.



No. 12
Entry from the Alexandria database: a crystal of RbTlF2 relaxed with PBEsol (meta-GGA SCAN).

The structure belongs to space group Fm-3m (No. 225); the cell edges are 6.717, 6.717 and 6.717 Å and the angles 90.00°, 90.00° and 90.00°. Symmetry generates all atoms from Rb at (0.000, 0.000, 0.000), Tl at (0.000, 0.000, 0.500) and F at (0.250, 0.250, 0.250).

The value obtained for the formation energy from raw total energies is -858.3 kJ/mol of formula units.